[1]
A relaxed YPuGaGe crystal, computed with PBE. Values from VASP.

```
&SYSTEM
  ibrav = 0, nat = 4, ntyp = 4
/
ATOMIC_SPECIES
Pu 244.00 Pu.upf
Y 88.91 Y.upf
Ga 69.72 Ga.upf
Ge 72.64 Ge.upf
CELL_PARAMETERS angstrom
-1.486 -4.240 -2.308
3.226 -3.849 -0.533
-0.656 -4.234 2.674
ATOMIC_POSITIONS crystal
Pu 0.000 0.000 0.000
Y 0.500 0.500 0.500
Ga 0.750 0.750 0.750
Ge 0.250 0.250 0.250
```

## Properties
SG = F-43m, No. 216
crystal system = cubic
final energy = -0.278 hartree per atom


[2]
A relaxed PmInGa2 crystal, computed with PBE. Values from VASP.

```
&SYSTEM
  ibrav = 0, nat = 4, ntyp = 3
/
ATOMIC_SPECIES
In 114.82 In.upf
Ga 69.72 Ga.upf
Pm 145.00 Pm.upf
CELL_PARAMETERS angstrom
-4.230 -0.049 -0.953
0.971 -1.335 -4.241
-0.245 -4.350 1.313
ATOMIC_POSITIONS crystal
In 0.500 0.500 0.500
Ga 0.000 0.000 0.500
Ga 0.000 0.500 0.000
Pm 0.500 0.000 0.000
```

## Properties
SG = P4/mmm, No. 123
crystal system = tetragonal
polymorph energy (0 for the lowest one) = 0.000 eV/atom


[3]
A relaxed ScTiOs2Cl crystal, computed with PBE. Values from VASP.

```
&SYSTEM
  ibrav = 0, nat = 5, ntyp = 4
/
ATOMIC_SPECIES
Cl 35.45 Cl.upf
Os 190.23 Os.upf
Sc 44.96 Sc.upf
Ti 47.87 Ti.upf
CELL_PARAMETERS angstrom
4.623 0.000 0.000
0.000 4.657 0.000
0.000 0.000 4.623
ATOMIC_POSITIONS crystal
Cl 0.000 0.500 0.000
Os 0.000 0.000 0.500
Os 0.500 0.000 0.000
Sc 0.500 0.500 0.500
Ti 0.000 0.000 0.000
```

## Properties
SG = P4/mmm, No. 123
crystal system = tetragonal
final energy = -0.257 hartree per atom


[4]
A relaxed ZnCo2W crystal, computed with PBE. Values from VASP.

```
&SYSTEM
  ibrav = 0, nat = 4, ntyp = 3
/
ATOMIC_SPECIES
Co 58.93 Co.upf
Zn 65.41 Zn.upf
W 183.84 W.upf
CELL_PARAMETERS angstrom
-0.387 1.972 -1.808
-1.698 -0.378 -2.069
-6.907 3.491 3.266
ATOMIC_POSITIONS crystal
Co 0.084 0.084 0.748
Co 0.249 0.249 0.252
Zn 0.500 0.500 0.500
W 0.666 0.666 0.001
```

## Properties
SG = R3m, No. 160
crystal system = trigonal
final energy = -0.255 hartree per atom